(1)
# Pr5Y6Tm

An optimized crystal structure of Pr5Y6Tm (PBE, Alexandria via LeMat-Bulk).

```
data_Pr5Y6Tm
_chemical_formula_sum 'Pr5 Y6 Tm1'
_symmetry_space_group_name_H-M 'P 1'
_symmetry_Int_Tables_number 1
_symmetry_space_group_name_Hall 'P 1'
_cell_length_a 11.9376
_cell_length_b 6.2869
_cell_length_c 6.2851
_cell_angle_alpha 59.99
_cell_angle_beta 84.98
_cell_angle_gamma 79.93
loop_
_atom_site_label
_atom_site_fract_x
_atom_site_fract_y
_atom_site_fract_z
Pr1 0.0000 0.3337 0.3326
Pr2 0.5000 0.5000 0.0000
Pr3 0.5000 0.1670 0.6660
Pr4 0.0000 0.6663 0.6674
Pr5 0.5000 0.8330 0.3340
Y1 0.2484 0.5848 0.3325
Y2 0.7512 0.7503 0.0000
Y3 0.2484 0.9173 0.6675
Y4 0.7516 0.0827 0.3325
Y5 0.7516 0.4152 0.6675
Y6 0.2488 0.2497 0.0000
Tm1 0.0000 0.0000 0.0000
```

Total energy in eV per atom: -5.58
Symmetry: C2/m, No. 12
Energy relative to the elements in eV per atom: 0.01

(2)
# NbCr2BiSe

An optimized crystal structure of NbCr2BiSe (PBE, Alexandria via LeMat-Bulk).

```
data_NbCr2BiSe
_chemical_formula_sum 'Nb1 Cr2 Bi1 Se1'
_symmetry_space_group_name_H-M 'P 1'
_symmetry_Int_Tables_number 1
_symmetry_space_group_name_Hall 'P 1'
_cell_length_a 5.1037
_cell_length_b 5.6853
_cell_length_c 5.1037
_cell_angle_alpha 90.00
_cell_angle_beta 90.00
_cell_angle_gamma 90.00
loop_
_atom_site_label
_atom_site_fract_x
_atom_site_fract_y
_atom_site_fract_z
Cr1 0.0000 0.0000 0.5000
Cr2 0.5000 0.0000 0.0000
Nb1 0.5000 0.5000 0.5000
Bi1 0.0000 0.0000 0.0000
Se1 0.0000 0.5000 0.0000
```

Total energy in eV per atom: -5.71
Symmetry: P4/mmm, No. 123
Formation energy (no corrections) in eV per atom: 1.63

(3)
# ZrSeSBr2

An optimized crystal structure of ZrSeSBr2 (PBE, Alexandria via LeMat-Bulk).

```
data_ZrSeSBr2
_chemical_formula_sum 'Zr1 Se1 S1 Br2'
_symmetry_space_group_name_H-M 'P 1'
_symmetry_Int_Tables_number 1
_symmetry_space_group_name_Hall 'P 1'
_cell_length_a 5.0925
_cell_length_b 5.0925
_cell_length_c 4.8971
_cell_angle_alpha 90.00
_cell_angle_beta 90.00
_cell_angle_gamma 90.00
loop_
_atom_site_label
_atom_site_fract_x
_atom_site_fract_y
_atom_site_fract_z
Zr1 0.5000 0.5000 0.5000
Se1 0.0000 0.0000 0.5000
Br1 0.5000 0.0000 0.0000
Br2 0.0000 0.5000 0.0000
S1 0.0000 0.0000 0.0000
```

Total energy in eV per atom: -3.46
Symmetry: P4/mmm, No. 123
Energy relative to the lowest polymorph listed for this composition in meV per atom: 724.2
Formation energy (no corrections) in eV per atom: 0.44

(4)
# Bi2HPd

An optimized crystal structure of Bi2HPd (PBE, Alexandria via LeMat-Bulk).

```
data_Bi2HPd
_chemical_formula_sum 'Bi4 H2 Pd2'
_symmetry_space_group_name_H-M 'P 1'
_symmetry_Int_Tables_number 1
_symmetry_space_group_name_Hall 'P 1'
_cell_length_a 6.8196
_cell_length_b 6.8196
_cell_length_c 5.9670
_cell_angle_alpha 55.15
_cell_angle_beta 55.15
_cell_angle_gamma 90.00
loop_
_atom_site_label
_atom_site_fract_x
_atom_site_fract_y
_atom_site_fract_z
Pd1 0.7500 0.2500 0.5000
Pd2 0.0000 0.0000 0.0000
Bi1 0.5683 0.1250 0.2500
Bi2 0.1817 0.6250 0.2500
Bi3 0.8750 0.8183 0.7500
Bi4 0.3750 0.4317 0.7500
H1 0.2500 0.7500 0.5000
H2 0.5000 0.5000 0.0000
```

Total energy in eV per atom: -3.88
Symmetry: I-42d, No. 122
Energy relative to the lowest polymorph listed for this composition in meV per atom: 38.5

(5)
# MgZrSi

An optimized crystal structure of MgZrSi (PBE, Alexandria via LeMat-Bulk).

```
data_MgZrSi
_chemical_formula_sum 'Mg1 Zr1 Si1'
_symmetry_space_group_name_H-M 'P 1'
_symmetry_Int_Tables_number 1
_symmetry_space_group_name_Hall 'P 1'
_cell_length_a 6.2872
_cell_length_b 6.1227
_cell_length_c 3.2330
_cell_angle_alpha 77.73
_cell_angle_beta 72.10
_cell_angle_gamma 30.16
loop_
_atom_site_label
_atom_site_fract_x
_atom_site_fract_y
_atom_site_fract_z
Zr1 0.6849 0.6849 0.3151
Si1 0.3317 0.3317 0.6683
Mg1 0.9833 0.9833 0.0167
```

Total energy in eV per atom: -5.36
Symmetry: Fmm2, No. 42
Formation energy (no corrections) in eV per atom: -0.17

(6)
# YNb3V

An optimized crystal structure of YNb3V (PBE, Alexandria via LeMat-Bulk).

```
data_YNb3V
_chemical_formula_sum 'Y1 Nb3 V1'
_symmetry_space_group_name_H-M 'P 1'
_symmetry_Int_Tables_number 1
_symmetry_space_group_name_Hall 'P 1'
_cell_length_a 4.8964
_cell_length_b 4.8964
_cell_length_c 4.8964
_cell_angle_alpha 90.00
_cell_angle_beta 90.00
_cell_angle_gamma 90.00
loop_
_atom_site_label
_atom_site_fract_x
_atom_site_fract_y
_atom_site_fract_z
Nb1 0.0000 0.5000 0.0000
Nb2 0.5000 0.0000 0.0000
Nb3 0.0000 0.0000 0.5000
V1 0.5000 0.5000 0.5000
Y1 0.0000 0.0000 0.0000
```

Total energy in eV per atom: -6.95
Symmetry: Pm-3m, No. 221
Energy relative to the lowest polymorph listed for this composition in meV per atom: 1554.9
Energy relative to the elements in eV per atom: 2.21

(7)
# KBe4Pb3O12

An optimized crystal structure of KBe4Pb3O12 (PBE, Alexandria via LeMat-Bulk).

```
data_KBe4Pb3O12
_chemical_formula_sum 'K1 Be4 Pb3 O12'
_symmetry_space_group_name_H-M 'P 1'
_symmetry_Int_Tables_number 1
_symmetry_space_group_name_Hall 'P 1'
_cell_length_a 6.7469
_cell_length_b 6.7469
_cell_length_c 6.7469
_cell_angle_alpha 104.20
_cell_angle_beta 104.20
_cell_angle_gamma 104.20
loop_
_atom_site_label
_atom_site_fract_x
_atom_site_fract_y
_atom_site_fract_z
O1 0.3771 0.9484 0.2130
O2 0.6461 0.5000 0.3539
O3 0.9484 0.2130 0.3771
O4 0.9066 0.5000 0.0934
O5 0.5000 0.3539 0.6461
O6 0.6229 0.7870 0.0516
O7 0.0934 0.9066 0.5000
O8 0.7870 0.0516 0.6229
O9 0.2130 0.3771 0.9484
O10 0.3539 0.6461 0.5000
O11 0.0516 0.6229 0.7870
O12 0.5000 0.0934 0.9066
K1 0.0000 0.0000 0.0000
Be1 0.5000 0.9495 0.0505
Be2 0.9495 0.0505 0.5000
Be3 0.0505 0.5000 0.9495
Be4 0.5000 0.5000 0.5000
Pb1 0.5541 0.4459 0.0000
Pb2 0.0000 0.5541 0.4459
Pb3 0.4459 0.0000 0.5541
```

Total energy in eV per atom: -5.66
Symmetry: R32, No. 155
Formation energy (no corrections) in eV per atom: -1.33

(8)
# CrB

An optimized crystal structure of CrB (PBE, Alexandria via LeMat-Bulk).

```
data_CrB
_chemical_formula_sum 'Cr6 B6'
_symmetry_space_group_name_H-M 'P 1'
_symmetry_Int_Tables_number 1
_symmetry_space_group_name_Hall 'P 1'
_cell_length_a 2.8705
_cell_length_b 2.8705
_cell_length_c 15.3334
_cell_angle_alpha 90.00
_cell_angle_beta 90.00
_cell_angle_gamma 120.00
loop_
_atom_site_label
_atom_site_fract_x
_atom_site_fract_y
_atom_site_fract_z
B1 0.3333 0.6667 0.1765
B2 0.6667 0.3333 0.8432
B3 0.3333 0.6667 0.0090
B4 0.0000 0.0000 0.3423
B5 0.6667 0.3333 0.6756
B6 0.0000 0.0000 0.5098
Cr1 0.6667 0.3333 0.4341
Cr2 0.0000 0.0000 0.9198
Cr3 0.3333 0.6667 0.7675
Cr4 0.0000 0.0000 0.1008
Cr5 0.3333 0.6667 0.5865
Cr6 0.6667 0.3333 0.2531
```

Total energy in eV per atom: -8.22
Symmetry: R3m, No. 160
Energy relative to the elements in eV per atom: -0.07